1.
# CoAs2W

CoAs2W at its PBEsol-relaxed geometry (SCAN, Alexandria).

Cell and atoms, written as POSCAR:
```
CoAs2W
1.0
-0.9758 -2.4543 0.8891
-0.8607 -0.5936 -2.5833
7.3566 -3.5199 -1.6422
As Co W
2 1 1
Direct
0.0000 0.0000 0.9452
0.5000 0.5000 0.3314
0.0000 0.0000 0.5107
0.5000 0.5000 0.7127
```

Total energy   -31.751 eV per atom
Energy of formation from the pure elements   0.09 eV per atom



2.
# LiLa3Cd

LiLa3Cd at its PBEsol-relaxed geometry (SCAN, Alexandria).

Cell and atoms, written as POSCAR:
```
LiLa3Cd
1.0
-4.6207 2.0740 -1.5285
-2.4742 -4.4474 1.4450
-0.7184 1.9769 4.8544
Cd Li La
1 1 3
Direct
0.5000 0.5000 0.5000
0.0000 0.0000 0.0000
0.0000 0.5000 0.0000
0.0000 0.0000 0.5000
0.5000 0.0000 0.0000
```

Energy above the most stable polymorph in this dataset   0 meV/atom
Total energy   -32.121 eV per atom
Energy of formation from the pure elements   0.30 eV per atom



3.
# BIr2Se

BIr2Se at its PBEsol-relaxed geometry (SCAN, Alexandria).

Cell and atoms, written as POSCAR:
```
BIr2Se
1.0
4.1790 0.0000 0.0000
2.0895 3.6191 0.0000
2.0895 1.2064 3.4122
B Ir Se
1 2 1
Direct
0.0000 0.0000 0.0000
0.2500 0.2500 0.2500
0.7500 0.7500 0.7500
0.5000 0.5000 0.5000
```

Energy relative to the elements, uncorrected   0.8949 eV/atom
Total energy   -41.532 eV per atom



4.
# CdRhC3

CdRhC3 at its PBEsol-relaxed geometry (SCAN, Alexandria).

Cell and atoms, written as POSCAR:
```
CdRhC3
1.0
-1.2317 -0.3700 -3.7770
1.5618 -3.6685 -0.1499
-3.4588 -1.5247 1.2773
C Rh Cd
3 1 1
Direct
0.0000 0.5000 0.0000
0.0000 0.0000 0.5000
0.5000 0.0000 0.0000
0.0000 0.0000 0.0000
0.5000 0.5000 0.5000
```

Total energy   -16.645 eV per atom
Energy of formation from the pure elements   2.25 eV per atom



5.
# ScB2C2

ScB2C2 at its PBEsol-relaxed geometry (SCAN, Alexandria).

Cell and atoms, written as POSCAR:
```
ScB2C2
1.0
-0.2397 0.4096 3.3447
-4.5504 -2.6485 -0.0018
5.0676 -8.7075 1.4295
Sc B C
4 8 8
Direct
0.0000 0.3623 0.6493
0.0000 0.6377 0.3507
0.0000 0.8623 0.8507
0.0000 0.1377 0.1493
0.5000 0.9874 0.3112
0.5000 0.0126 0.6888
0.5000 0.5126 0.8112
0.5000 0.4874 0.1888
0.5000 0.3560 0.4643
0.5000 0.6440 0.5357
0.5000 0.8560 0.0357
0.5000 0.1440 0.9643
0.5000 0.2972 0.3091
0.5000 0.7028 0.6909
0.5000 0.2028 0.8091
0.5000 0.7972 0.1909
0.5000 0.3928 0.0445
0.5000 0.6072 0.9555
0.5000 0.8928 0.4555
0.5000 0.1072 0.5445
```

Total energy   -10.408 eV per atom
Energy of formation from the pure elements   -0.55 eV per atom



6.
# Y5Mg

Y5Mg at its PBEsol-relaxed geometry (SCAN, Alexandria).

Cell and atoms, written as POSCAR:
```
Y5Mg
1.0
-0.2148 0.3667 -3.5245
-5.2524 -1.8019 0.1326
-2.7838 8.3223 2.8234
Y Mg
5 1
Direct
0.3318 0.0000 0.6636
0.6627 0.0000 0.3255
0.4492 0.5000 0.8984
0.7792 0.5000 0.5585
0.1106 0.5000 0.2212
0.9997 0.0000 0.9994
```

Energy above the most stable polymorph in this dataset   14 meV/atom
Total energy   -24.028 eV per atom
Energy of formation from the pure elements   0.00 eV per atom



7.
# Sr4CoIr

Sr4CoIr at its PBEsol-relaxed geometry (SCAN, Alexandria).

Cell and atoms, written as POSCAR:
```
Sr4CoIr
1.0
-0.3814 4.7190 -4.0287
-1.6338 -1.0751 -5.9008
-5.5518 1.8716 -2.0783
Co Ir Sr
1 1 4
Direct
0.7500 0.7500 0.7500
0.0000 0.0000 0.0000
0.3743 0.3743 0.3743
0.3743 0.3743 0.8771
0.8771 0.3743 0.3743
0.3743 0.8771 0.3743
```

Total energy   -28.324 eV per atom
Energy of formation from the pure elements   1.26 eV per atom



8.
# TcSb2AuI

TcSb2AuI at its PBEsol-relaxed geometry (SCAN, Alexandria).

Cell and atoms, written as POSCAR:
```
TcSb2AuI
1.0
5.0231 0.0000 0.0000
0.0000 5.7019 0.0000
0.0000 0.0000 5.7019
I Sb Au Tc
1 2 1 1
Direct
0.0000 0.0000 0.0000
0.0000 0.0000 0.5000
0.0000 0.5000 0.0000
0.5000 0.0000 0.0000
0.5000 0.5000 0.5000
```

Energy relative to the elements, uncorrected   1.7039 eV/atom
Total energy   -41.392 eV per atom